1.
First-principles (PBE) data for a relaxed structure of PmAl2Ni, as listed in Alexandria via LeMat-Bulk.

Geometry as POSCAR:
```
PmAl2Ni
1.0
4.071 0.000 0.000
-2.036 5.362 0.000
0.000 0.000 6.923
Pm Al Ni
2 4 2
Direct
0.056 0.112 0.750 Pm
0.944 0.888 0.250 Pm
0.334 0.667 0.556 Al
0.666 0.333 0.056 Al
0.666 0.333 0.444 Al
0.334 0.667 0.944 Al
0.782 0.564 0.750 Ni
0.218 0.436 0.250 Ni
```

E_form	-603	meV per atom
total magnetic moment	0.0	μB/f.u.
total energy	-5.11	eV/atom
mass density	5661	kg/m3

2.
First-principles (PBE) data for a relaxed structure of Fe3TcGe, as listed in Alexandria via LeMat-Bulk.

Geometry as POSCAR:
```
Fe3TcGe
1.0
-2.409 0.623 -3.718
-2.828 -3.216 1.293
-2.493 3.047 2.126
Tc Fe Ge
1 3 1
Direct
0.000 0.000 0.000 Tc
0.500 0.000 0.000 Fe
0.000 0.000 0.500 Fe
0.000 0.500 0.000 Fe
0.500 0.500 0.500 Ge
```

E_form	1412	meV per atom
total magnetic moment	6.0	μB/f.u.
total energy	-6.66	eV/atom
mass density	6270	kg/m3

3.
First-principles (PBE) data for a relaxed structure of CrRe3P, as listed in Alexandria via LeMat-Bulk.

Geometry as POSCAR:
```
CrRe3P
1.0
-2.826 0.526 -3.397
1.471 -3.789 -1.811
-3.107 -2.272 2.232
Cr Re P
1 3 1
Direct
0.000 0.000 0.000 Cr
0.500 0.000 0.000 Re
0.000 0.500 0.000 Re
0.000 0.000 0.500 Re
0.500 0.500 0.500 P
```

E_form	1880	meV per atom
total magnetic moment	0.0	μB/f.u.
total energy	-8.60	eV/atom
mass density	12095	kg/m3

4.
First-principles (PBE) data for a relaxed structure of Tb4CdIn, as listed in Alexandria via LeMat-Bulk.

Geometry as POSCAR:
```
Tb4CdIn
1.0
3.391 0.000 0.981
2.179 6.851 -1.181
-0.527 -3.397 8.174
Cd In Tb
1 1 4
Direct
0.000 0.000 0.000 Cd
0.500 0.500 0.500 In
0.172 0.484 0.172 Tb
0.328 0.015 0.329 Tb
0.672 0.985 0.671 Tb
0.828 0.516 0.828 Tb
```

E_form	-248	meV per atom
total magnetic moment	0.0	μB/f.u.
total energy	-3.94	eV/atom
mass density	8305	kg/m3

5.
First-principles (PBE) data for a relaxed structure of Pr3AlGa2Pt9, as listed in Alexandria via LeMat-Bulk.

Geometry as POSCAR:
```
Pr3AlGa2Pt9
1.0
-3.135 1.826 -4.434
-2.514 -2.778 4.334
-1.770 9.948 5.349
Pt Pr Al Ga
9 3 1 2
Direct
0.663 0.831 0.340 Pt
0.169 0.831 0.340 Pt
0.169 0.337 0.340 Pt
0.831 0.169 0.660 Pt
0.500 0.000 0.000 Pt
0.000 0.500 0.000 Pt
0.337 0.169 0.660 Pt
0.500 0.500 0.000 Pt
0.831 0.663 0.660 Pt
0.000 0.000 0.000 Pr
0.333 0.667 0.748 Pr
0.667 0.333 0.252 Pr
0.000 0.000 0.500 Al
0.667 0.333 0.831 Ga
0.333 0.667 0.169 Ga
```

E_form	-766	meV per atom
total magnetic moment	0.0	μB/f.u.
total energy	-6.00	eV/atom
mass density	11983	kg/m3

6.
First-principles (PBE) data for a relaxed structure of Ac3NiHgPt, as listed in Alexandria via LeMat-Bulk.

Geometry as POSCAR:
```
Ac3NiHgPt
1.0
-1.800 -0.695 -3.852
8.682 -2.706 -3.569
-4.113 -7.976 3.360
Ac Pt Ni Hg
6 2 2 2
Direct
0.250 0.111 0.802 Ac
0.250 0.740 0.503 Ac
0.750 0.434 0.152 Ac
0.750 0.260 0.497 Ac
0.750 0.889 0.198 Ac
0.250 0.566 0.848 Ac
0.250 0.660 0.175 Pt
0.750 0.340 0.825 Pt
0.250 0.031 0.450 Ni
0.750 0.969 0.550 Ni
0.750 0.826 0.792 Hg
0.250 0.174 0.208 Hg
```

E_form	-623	meV per atom
total magnetic moment	0.0	μB/f.u.
total energy	-4.70	eV/atom
mass density	9737	kg/m3